Record 1
## AcPr5Tm2 (PBE)

Data for AcPr5Tm2 after structural relaxation.

**DOS at the Fermi energy**: 1.275 states/eV/atom
**Energy of formation**: 14.8 kJ/mol of formula units
**Symmetry**: Pbam, No. 55

Cell lengths 5.202, 7.382, 14.765 Å; angles 90.00, 90.00, 90.00 degrees
Fractional coordinates of all 16 atoms:
1 Pr 0.000 0.000 0.000
2 Pr 0.000 0.001 0.248
3 Tm 0.500 0.249 0.127
4 Ac 0.000 0.500 0.000
5 Tm 0.500 0.751 0.873
6 Pr 0.000 0.501 0.252
7 Tm 0.500 0.251 0.627
8 Pr 0.500 0.253 0.373
9 Pr 0.500 0.247 0.873
10 Pr 0.500 0.747 0.627
11 Pr 0.000 0.999 0.752
12 Pr 0.000 0.500 0.500
13 Ac 0.000 0.000 0.500
14 Pr 0.000 0.499 0.748
15 Pr 0.500 0.753 0.127
16 Tm 0.500 0.749 0.373


Record 2
## PmCuGeRh (PBE)

Data for PmCuGeRh after structural relaxation.

**DOS at the Fermi energy**: 0.871 states/eV/atom
**Energy of formation**: -138.6 kJ/mol of formula units
**Symmetry**: F-43m, No. 216

Cell lengths 4.663, 4.663, 4.663 Å; angles 60.00, 60.00, 60.00 degrees
Fractional coordinates of all 4 atoms:
1 Rh 0.000 0.000 0.000
2 Pm 0.250 0.250 0.250
3 Ge 0.750 0.750 0.750
4 Cu 0.500 0.500 0.500


Record 3
## Nd3Ni2Ge3 (PBE)

Data for Nd3Ni2Ge3 after structural relaxation.

**DOS at the Fermi energy**: 0.508 states/eV/atom
**Energy of formation**: -569.4 kJ/mol of formula units
**Symmetry**: Cmcm, No. 63

Cell lengths 4.301, 5.764, 14.555 Å; angles 90.00, 90.00, 111.91 degrees
Fractional coordinates of all 16 atoms:
1 Ni 0.797 0.595 0.598
2 Nd 0.912 0.823 0.391
3 Nd 0.088 0.177 0.891
4 Nd 0.629 0.258 0.250
5 Ge 0.672 0.345 0.750
6 Ni 0.797 0.595 0.902
7 Nd 0.912 0.823 0.109
8 Ge 0.628 0.256 0.038
9 Ge 0.372 0.744 0.538
10 Nd 0.088 0.177 0.609
11 Ni 0.203 0.405 0.402
12 Ni 0.203 0.405 0.098
13 Ge 0.372 0.744 0.962
14 Nd 0.371 0.742 0.750
15 Ge 0.328 0.655 0.250
16 Ge 0.628 0.256 0.462


Record 4
## Cr2CdCu (PBE)

Data for Cr2CdCu after structural relaxation.

**DOS at the Fermi energy**: 0.506 states/eV/atom
**Energy of formation**: 185.5 kJ/mol of formula units
**Symmetry**: Pmmm, No. 47

Cell lengths 2.733, 4.119, 5.145 Å; angles 90.00, 90.00, 90.00 degrees
Fractional coordinates of all 4 atoms:
1 Cr 0.000 0.000 0.062
2 Cr 0.000 0.000 0.438
3 Cu 0.500 0.500 0.250
4 Cd 0.500 0.500 0.750


Record 5
## BaMgCu2F8 (PBE)

Data for BaMgCu2F8 after structural relaxation.

**DOS at the Fermi energy**: 1.267 states/eV/atom
**Symmetry**: P-3, No. 147
**Uncorrected formation energy**: -2.463 eV/atom

Cell lengths 5.324, 5.324, 7.203 Å; angles 90.00, 90.00, 120.00 degrees
Fractional coordinates of all 12 atoms:
1 Mg 0.000 0.000 0.500
2 F 0.667 0.333 0.047
3 Cu 0.333 0.667 0.691
4 F 0.333 0.667 0.953
5 Cu 0.667 0.333 0.309
6 F 0.699 0.985 0.332
7 F 0.301 0.015 0.668
8 F 0.714 0.699 0.668
9 F 0.985 0.286 0.668
10 Ba 0.000 0.000 0.000
11 F 0.015 0.714 0.332
12 F 0.286 0.301 0.332


Record 6
## K2RbPb (PBE)

Data for K2RbPb after structural relaxation.

**Excess energy over the best structure of this formula in the dataset**: 54 kJ/mol of formula units
**DOS at the Fermi energy**: 0.804 states/eV/atom
**Energy of formation**: 35.9 kJ/mol of formula units
**Symmetry**: I-42d, No. 122

Cell lengths 5.665, 5.665, 13.798 Å; angles 78.15, 78.15, 90.00 degrees
Fractional coordinates of all 8 atoms:
1 Pb 0.000 0.000 0.000
2 K 0.090 0.625 0.250
3 K 0.375 0.340 0.750
4 Rb 0.500 0.500 0.000
5 Rb 0.250 0.750 0.500
6 Pb 0.750 0.250 0.500
7 K 0.660 0.125 0.250
8 K 0.875 0.910 0.750


Record 7
## TbEr2ScN4 (PBE)

Data for TbEr2ScN4 after structural relaxation.

**DOS at the Fermi energy**: 0.029 states/eV/atom
**Symmetry**: P2/m, No. 10
**Uncorrected formation energy**: -1.742 eV/atom

Cell lengths 3.397, 5.876, 5.875 Å; angles 109.41, 90.00, 90.00 degrees
Fractional coordinates of all 8 atoms:
1 Er 0.500 0.000 0.500
2 Er 0.000 0.500 0.500
3 N 0.000 0.243 0.751
4 N 0.000 0.757 0.249
5 N 0.500 0.242 0.245
6 N 0.500 0.758 0.755
7 Tb 0.500 0.500 0.000
8 Sc 0.000 0.000 0.000


Record 8
## MnZn2BS (PBE)

Data for MnZn2BS after structural relaxation.

**DOS at the Fermi energy**: 0.378 states/eV/atom
**Symmetry**: P4/mmm, No. 123
**Uncorrected formation energy**: 0.459 eV/atom

Cell lengths 3.920, 5.560, 3.920 Å; angles 90.00, 90.00, 90.00 degrees
Fractional coordinates of all 5 atoms:
1 S 0.000 0.500 0.000
2 Zn 0.500 0.000 0.000
3 Mn 0.500 0.500 0.500
4 Zn 0.000 0.000 0.500
5 B 0.000 0.000 0.000


Record 9
## Ac4TlZn (PBE)

Data for Ac4TlZn after structural relaxation.

**Excess energy over the best structure of this formula in the dataset**: 0 kJ/mol of formula units
**DOS at the Fermi energy**: 1.362 states/eV/atom
**Energy of formation**: -101.9 kJ/mol of formula units
**Symmetry**: P4/mmm, No. 123

Cell lengths 4.006, 4.006, 13.906 Å; angles 90.02, 90.02, 90.00 degrees
Fractional coordinates of all 6 atoms:
1 Ac 0.500 0.500 0.137
2 Zn 0.000 0.000 0.000
3 Tl 0.500 0.500 0.500
4 Ac 0.000 0.000 0.655
5 Ac 0.000 0.000 0.345
6 Ac 0.500 0.500 0.863


Record 10
## Gd2HgBr (PBE)

Data for Gd2HgBr after structural relaxation.

**Excess energy over the best structure of this formula in the dataset**: 8 kJ/mol of formula units
**DOS at the Fermi energy**: 1.224 states/eV/atom
**Symmetry**: P4/mmm, No. 123
**Uncorrected formation energy**: -0.708 eV/atom

Cell lengths 3.572, 3.572, 8.248 Å; angles 90.00, 90.00, 90.00 degrees
Fractional coordinates of all 4 atoms:
1 Gd 0.000 0.000 0.238
2 Br 0.500 0.500 0.500
3 Gd 0.000 0.000 0.762
4 Hg 0.500 0.500 0.000


Record 11
## NiH2Os2 (PBE)

Data for NiH2Os2 after structural relaxation.

**Excess energy over the best structure of this formula in the dataset**: 34 kJ/mol of formula units
**DOS at the Fermi energy**: 0.781 states/eV/atom
**Symmetry**: I4/mmm, No. 139

Cell lengths 3.006, 3.006, 5.503 Å; angles 74.15, 74.15, 90.00 degrees
Fractional coordinates of all 5 atoms:
1 H 0.250 0.750 0.500
2 H 0.750 0.250 0.500
3 Os 0.363 0.363 0.273
4 Os 0.637 0.637 0.727
5 Ni 0.000 0.000 0.000


Record 12
## TiSnTe (PBE)

Data for TiSnTe after structural relaxation.

**DOS at the Fermi energy**: 0.552 states/eV/atom
**Symmetry**: C2/m, No. 12
**Uncorrected formation energy**: -0.202 eV/atom

Cell lengths 4.410, 10.495, 7.688 Å; angles 103.68, 90.00, 102.13 degrees
Fractional coordinates of all 12 atoms:
1 Te 0.149 0.297 0.968
2 Ti 0.180 0.359 0.344
3 Te 0.851 0.703 0.032
4 Sn 0.244 0.489 0.744
5 Sn 0.355 0.711 0.469
6 Sn 0.756 0.511 0.256
7 Sn 0.645 0.289 0.531
8 Ti 0.925 0.850 0.370
9 Te 0.037 0.075 0.261
10 Ti 0.820 0.641 0.656
11 Ti 0.075 0.150 0.630
12 Te 0.963 0.925 0.739


Calculated values (eV per atom) of final energy for the records, taken in order: -4.5994; -5.5631; -5.7025; -5.5838; -4.6859; -1.6248; -8.4158; -4.0454; -3.5216; -8.2417; -6.5393; -5.2156.